Record 1
DFT (PBE) results for a geometry-optimized MnZn4Au structure.

It has space group F-43m (No. 216), with a = 7.1455 Å, b = 7.1455 Å, c = 7.1455 Å, α = 90.00°, β = 90.00° and γ = 90.00°. Symmetry generates all atoms from Mn at (0.0000, 0.0000, 0.0000), Zn at (0.1254, 0.1254, 0.6254) and Au at (0.2500, 0.2500, 0.2500).

As for the formation energy: 0.033 eV per atom.

Record 2
DFT (PBE) results for a geometry-optimized Mn2Zn12Au structure.

It has space group P4/nbm (No. 125, origin choice 2), with a = 5.1351 Å, b = 5.1351 Å, c = 18.4723 Å, α = 90.00°, β = 90.00° and γ = 90.00°. Symmetry generates all atoms from Mn at (0.2500, 0.7500, 0.2296), Zn at (0.0010, 0.5010, 0.3927), Zn at (0.0743, 0.5743, 0.0648), Zn at (0.2500, 0.2500, 0.1621), Zn at (0.2500, 0.2500, 0.2918) and Au at (0.2500, 0.7500, 0.5000).

As for the formation energy: 0.122 eV per atom.